A plane-wave DFT calculation with PBE was carried out for crystalline SbINO2 at its relaxed geometry.

**Formation energy from raw total energies**: 25.3 kJ/mol of atoms
**DOS(E_F)**: 4.23 states/eV/f.u.

Lattice parameters (Å, degrees): 3.9608 3.9608 4.5732 90.00 90.00 90.00
Fractional positions:
Sb  0.0000  0.0000  0.0000
I  0.5000  0.5000  0.5000
N  0.0000  0.0000  0.5000
O  0.0000  0.5000  0.0000
O  0.5000  0.0000  0.0000

=====

A plane-wave DFT calculation with PBE was carried out for crystalline B5C7 at its relaxed geometry.

**Excess energy over the best structure of this formula in the dataset**: 126 meV/atom
**DOS(E_F)**: 0.69 states/eV/f.u.
**Formation energy from the elements**: 0.38 eV per atom

Lattice parameters (Å, degrees): 2.5773 2.5773 13.6502 90.00 90.00 120.00
Fractional positions:
B  0.0000  0.0000  0.0000
B  0.0000  0.0000  0.1239
B  0.0000  0.0000  0.6266
B  0.3333  0.6667  0.2023
B  0.3333  0.6667  0.7901
C  0.0000  0.0000  0.5058
C  0.3333  0.6667  0.3186
C  0.3333  0.6667  0.6748
C  0.6667  0.3333  0.3549
C  0.6667  0.3333  0.4713
C  0.6667  0.3333  0.8429
C  0.6667  0.3333  0.9463

=====

A plane-wave DFT calculation with PBE was carried out for crystalline Dy2MgF8 at its relaxed geometry.

**Formation energy from raw total energies**: -374.2 kJ/mol of atoms
**DOS(E_F)**: 0.00 states/eV/f.u.

Lattice parameters (Å, degrees): 8.1352 8.1352 5.7110 91.63 91.63 24.01
Fractional positions:
Dy  0.1537  0.1537  0.3419
Dy  0.8463  0.8463  0.6581
Mg  0.5000  0.5000  0.0000
F  0.0158  0.0158  0.2147
F  0.2441  0.2441  0.6739
F  0.3748  0.3748  0.9343
F  0.3933  0.3933  0.4593
F  0.6067  0.6067  0.5407
F  0.6252  0.6252  0.0657
F  0.7559  0.7559  0.3261
F  0.9842  0.9842  0.7853

=====

A plane-wave DFT calculation with PBE was carried out for crystalline ReAu2Cl at its relaxed geometry.

**Formation energy from raw total energies**: 40.2 kJ/mol of atoms
**Excess energy over the best structure of this formula in the dataset**: 60 meV/atom
**DOS(E_F)**: 2.59 states/eV/f.u.

Lattice parameters (Å, degrees): 2.9371 2.9371 10.3724 90.00 90.00 121.51
Fractional positions:
Re  0.0000  0.0000  0.0000
Au  0.0000  0.0000  0.5246
Au  0.5000  0.5000  0.7696
Cl  0.5000  0.5000  0.1850

=====

A plane-wave DFT calculation with PBE was carried out for crystalline Nd5Er2Tm5 at its relaxed geometry.

**DOS(E_F)**: 16.85 states/eV/f.u.
**Formation energy from the elements**: 0.02 eV per atom

Lattice parameters (Å, degrees): 7.9900 7.9900 11.3029 115.15 115.15 36.76
Fractional positions:
Nd  0.0000  0.0000  0.0000
Nd  0.0815  0.0815  0.7485
Nd  0.2489  0.2489  0.2505
Nd  0.7511  0.7511  0.7495
Nd  0.9185  0.9185  0.2515
Er  0.1667  0.1667  0.4991
Er  0.8333  0.8333  0.5009
Tm  0.3329  0.3329  0.0001
Tm  0.4155  0.4155  0.7471
Tm  0.5000  0.5000  0.5000
Tm  0.5845  0.5845  0.2529
Tm  0.6671  0.6671  0.9999

=====

A plane-wave DFT calculation with PBE was carried out for crystalline PrSnIr at its relaxed geometry.

**DOS(E_F)**: 2.50 states/eV/f.u.
**Formation energy from the elements**: -0.42 eV per atom

Lattice parameters (Å, degrees): 6.3571 6.3571 6.3571 148.80 148.80 44.70
Fractional positions:
Pr  0.0000  0.0000  0.0000
Sn  0.7114  0.7114  0.0000
Ir  0.3341  0.3341  0.0000

=====

> Among the records above, which one has the lowest DOS(E_F)?

Dy2MgF8

=====

> Which of these has the lowest DOS(E_F)?

Dy2MgF8

=====

> Among the records above, which one has the lowest DOS(E_F)?

Dy2MgF8

=====

> The lowest DOS(E_F) belongs to which entry?

Dy2MgF8